A plane-wave DFT calculation with PBE-GGA was carried out for an optimized crystal structure of YTaH2.

CIF file:
```
data_YTaH2
_space_group_name_H-M_alt 'P 1'
_space_group_IT_number 1
_space_group_name_Hall 'P 1'
_cell_length_a 5.3090
_cell_length_b 5.3090
_cell_length_c 5.3090
_cell_angle_alpha 121.43
_cell_angle_beta 121.43
_cell_angle_gamma 87.54
loop_
_atom_site_label
_atom_site_type_symbol
_atom_site_fract_x
_atom_site_fract_y
_atom_site_fract_z
Y1 Y 0.0000 0.0000 0.0000
Y2 Y 0.7500 0.2500 0.5000
Ta1 Ta 0.2500 0.7500 0.5000
Ta2 Ta 0.5000 0.5000 0.0000
H1 H 0.1715 0.6250 0.0465
H2 H 0.3750 0.4215 0.5465
H3 H 0.5785 0.1250 0.9535
H4 H 0.8750 0.8285 0.4535
```

D(E_F) ... 3.31 states/eV per cell
ΔE to the lowest computed polymorph ... 0 meV/atom